Compound: TaCdSn2O8
Source: Alexandria
Functional: PBE-GGA
Structure: relaxed

Values from the calculation:
- Formation energy (no corrections): -1.73 eV/atom
- Total magnetic moment: 0.00 μB/f.u.
- Crystal system: orthorhombic

a b c (Å): 4.8637 4.8635 6.5728
angles (deg): 90.00 90.00 89.95
Last column: nearest neighbours and their distance in Å.
Fractional coordinates of all 12 atoms:
O 0.6837 0.6841 0.5000  2 Sn 2.08, 1 Cd 2.18
O 0.1994 0.8002 0.2167  1 Ta 1.98, 1 Sn 2.08
O 0.2990 0.2986 0.0000  1 Ta 2.06, 2 Sn 2.14
O 0.1994 0.8002 0.7833  1 Ta 1.98, 1 Sn 2.08
O 0.3163 0.3159 0.5000  2 Sn 2.08, 1 Cd 2.18
O 0.8006 0.1998 0.2167  1 Ta 1.98, 1 Sn 2.08
O 0.8006 0.1998 0.7833  1 Ta 1.98, 1 Sn 2.08
O 0.7010 0.7014 0.0000  1 Ta 2.06, 2 Sn 2.14
Sn 0.5000 0.5000 0.2487  6 O 2.08-2.14
Sn 0.5000 0.5000 0.7513  6 O 2.08-2.14
Cd 0.0000 0.0000 0.5000  6 O 2.18-2.31
Ta 0.0000 0.0000 0.0000  6 O 1.98-2.06